## K6TlCd (PBE)

Data for a geometry-optimized K6TlCd structure.

```
16
Lattice="4.645 0.000 0.000 0.000 13.553 0.000 0.000 0.000 14.782" Properties=species:S:1:pos:R:3 pbc="T T T"
K 0.000 0.000 0.000
K 0.000 2.316 10.745
K 0.000 4.460 3.354
K 0.000 6.776 7.391
K 0.000 9.093 3.354
K 0.000 11.236 10.745
K 2.323 0.000 4.020
K 2.323 2.983 7.007
K 2.323 3.793 14.398
K 2.323 6.776 11.411
K 2.323 9.759 14.398
K 2.323 10.569 7.007
Tl 0.000 0.000 7.144
Tl 0.000 6.776 14.536
Cd 2.323 0.000 9.119
Cd 2.323 6.776 1.727
```

N(E_F), states/eV/cell: 12.9
V, A^3/atom: 58.17
Total magnetization, μB/f.u.: 0.00

---

## K3TlCd8 (PBE)

Data for a geometry-optimized K3TlCd8 structure.

```
12
Lattice="3.129 1.807 10.377 -3.129 1.807 10.377 0.000 -3.613 10.377" Properties=species:S:1:pos:R:3 pbc="T T T"
K 0.000 0.000 0.000
K 0.000 0.000 3.979
K 0.000 0.000 19.372
Tl 0.000 0.000 15.593
Cd 0.000 -1.803 7.102
Cd -1.561 0.902 7.102
Cd -1.560 -0.901 12.354
Cd 0.000 0.000 9.739
Cd 1.561 0.902 7.102
Cd 1.560 -0.901 12.354
Cd 0.000 1.801 12.354
Cd 0.000 0.000 25.307
```

N(E_F), states/eV/cell: 6.9
V, A^3/atom: 29.34
Total magnetization, μB/f.u.: 0.00

---

## K8TlCd2 (PBE)

Data for a geometry-optimized K8TlCd2 structure.

```
11
Lattice="-3.040 5.100 8.924 3.040 -5.100 8.924 3.040 5.100 -8.924" Properties=species:S:1:pos:R:3 pbc="T T T"
K 3.040 2.847 -2.794
K 0.000 0.000 2.567
K 0.000 3.141 0.000
K 3.040 2.847 2.794
K 0.000 2.253 6.130
K 0.000 7.059 0.000
K 0.000 0.000 15.281
K 0.000 2.253 11.719
Tl 3.040 0.000 0.000
Cd 3.040 0.000 5.457
Cd 0.000 5.100 3.468
```

N(E_F), states/eV/cell: 7.5
V, A^3/atom: 50.31
Total magnetization, μB/f.u.: 0.00

---

## K2Tl15Cd2 (PBE)

Data for a geometry-optimized K2Tl15Cd2 structure.

```
19
Lattice="5.655 3.265 5.696 -5.655 3.265 5.696 0.000 -6.530 5.696" Properties=species:S:1:pos:R:3 pbc="T T T"
K 0.000 0.000 2.823
K 0.000 0.000 14.266
Tl -2.828 -1.633 5.696
Tl 0.000 -3.260 5.354
Tl -2.824 1.630 5.354
Tl -1.655 -2.867 8.544
Tl -3.310 0.000 8.544
Tl -2.824 -1.630 11.735
Tl -2.828 1.633 11.393
Tl 1.655 -2.867 8.544
Tl 0.000 3.265 5.696
Tl -1.655 2.867 8.544
Tl 2.824 1.630 5.354
Tl 3.310 0.000 8.544
Tl 1.655 2.867 8.544
Tl 2.824 -1.630 11.735
Tl 0.000 3.261 11.735
Cd 0.000 0.000 6.950
Cd 0.000 0.000 10.139
```

N(E_F), states/eV/cell: 8.3
V, A^3/atom: 33.21
Total magnetization, μB/f.u.: 0.00

---

Quick rundown of formation enthalpy at 0 K, same order as above: -15; -69; 0; 4 meV per atom
Quick rundown of calculated total energy, same order as above: -19.968; -13.813; -12.974; -39.442 eV per cell